Density functional theory data (GGA-PBE) for LiLaGdSi after structural relaxation.

a = 5.140 Å, b = 5.140 Å, c = 5.140 Å
α = 60.00°, β = 60.00°, γ = 60.00°
Site moments in Bohr magnetons follow the coordinates.
Atoms (fractional coordinates):
La: 0.500 0.500 0.500  0.04
Si: 0.750 0.750 0.750  -0.04
Gd: 0.000 0.000 0.000  7.11
Li: 0.250 0.250 0.250  0.01

Computed properties:
- raw total energy (eV/atom) = -6.926
- calculated volume (Å³/cell) = 96
- raw formation energy (eV/atom) = -0.340